# Nd3Ni2Sn7, relaxed, DFT GGA-PBEsol
# E_form in eV per atom: -0.64
data_Nd3Ni2Sn7
_symmetry_space_group_name_H-M 'C m m m'
_symmetry_Int_Tables_number 65
_symmetry_space_group_name_Hall '-C 2 2'
_cell_length_a 4.558
_cell_length_b 27.108
_cell_length_c 4.520
_cell_angle_alpha 90.00
_cell_angle_beta 90.00
_cell_angle_gamma 90.00
loop_
_atom_site_label
_atom_site_type_symbol
_atom_site_fract_x
_atom_site_fract_y
_atom_site_fract_z
Nd1 Nd 0.000 0.000 0.000
Nd2 Nd 0.000 0.315 0.500
Ni1 Ni 0.000 0.128 0.000
Sn1 Sn 0.000 0.089 0.500
Sn2 Sn 0.000 0.219 0.000
Sn3 Sn 0.000 0.410 0.000
Sn4 Sn 0.000 0.500 0.500


# CsLi2BeGa, relaxed, DFT GGA-PBEsol
# E_form in eV per atom: 0.18
data_CsLi2BeGa
_symmetry_space_group_name_H-M 'P 4/m m m'
_symmetry_Int_Tables_number 123
_symmetry_space_group_name_Hall '-P 4 2'
_cell_length_a 5.232
_cell_length_b 5.232
_cell_length_c 4.337
_cell_angle_alpha 90.00
_cell_angle_beta 90.00
_cell_angle_gamma 90.00
loop_
_atom_site_label
_atom_site_type_symbol
_atom_site_fract_x
_atom_site_fract_y
_atom_site_fract_z
Cs1 Cs 0.000 0.000 0.000
Li1 Li 0.000 0.500 0.500
Be1 Be 0.500 0.500 0.500
Ga1 Ga 0.500 0.500 0.000


# CoSb2TeI, relaxed, DFT GGA-PBEsol
# E_form (uncorrected) in eV/atom: 1.75
data_CoSb2TeI
_symmetry_space_group_name_H-M 'P 4/m m m'
_symmetry_Int_Tables_number 123
_symmetry_space_group_name_Hall '-P 4 2'
_cell_length_a 5.689
_cell_length_b 5.689
_cell_length_c 5.663
_cell_angle_alpha 90.00
_cell_angle_beta 90.00
_cell_angle_gamma 90.00
loop_
_atom_site_label
_atom_site_type_symbol
_atom_site_fract_x
_atom_site_fract_y
_atom_site_fract_z
Co1 Co 0.000 0.000 0.000
Sb1 Sb 0.000 0.500 0.500
Te1 Te 0.500 0.500 0.000
I1 I 0.500 0.500 0.500


# KTlZn2, relaxed, DFT GGA-PBEsol
# E_form in eV per atom: 0.27
# ΔE to the lowest computed polymorph in meV/atom: 158
data_KTlZn2
_symmetry_space_group_name_H-M 'P 4/m m m'
_symmetry_Int_Tables_number 123
_symmetry_space_group_name_Hall '-P 4 2'
_cell_length_a 4.835
_cell_length_b 4.835
_cell_length_c 4.265
_cell_angle_alpha 90.00
_cell_angle_beta 90.00
_cell_angle_gamma 90.00
loop_
_atom_site_label
_atom_site_type_symbol
_atom_site_fract_x
_atom_site_fract_y
_atom_site_fract_z
K1 K 0.000 0.000 0.000
Tl1 Tl 0.500 0.500 0.000
Zn1 Zn 0.000 0.500 0.500


no.,energy (eV per atom),V (A^3/atom),total magnetic moment (μB/f.u.)
1,-5.440,23.27,0.0
2,-2.262,23.75,0.0
3,-2.679,36.65,2.8
4,-1.461,24.92,0.0